Computed, not measured: SrNb2CrI at its PBEsol-relaxed geometry at the SCAN level of DFT.

The space group is P4/mmm (No. 123) and the conventional cell measures 4.9224, 4.9224 and 5.7888 Å, with angles of 90.00, 90.00 and 90.00 degrees. Symmetry generates all atoms from Sr at (0.0000, 0.0000, 0.0000), Nb at (0.0000, 0.5000, 0.0000), Cr at (0.5000, 0.5000, 0.5000) and I at (0.0000, 0.0000, 0.5000).

Its total magnetization is 4.0 μB/cell. The density of states at the Fermi level comes out at 1.031 states/eV per atom. The calculation puts the calculated total energy at -131.64 eV for the cell shown.

Computed, not measured: CrNiI2 at its PBEsol-relaxed geometry at the SCAN level of DFT.

The space group is Fm-3m (No. 225) and the conventional cell measures 6.9376, 6.9376 and 6.9376 Å, with angles of 90.00, 90.00 and 90.00 degrees. Symmetry generates all atoms from Cr at (0.0000, 0.0000, 0.0000), Ni at (0.0000, 0.0000, 0.5000) and I at (0.2500, 0.2500, 0.2500).

Its total magnetization is 15.5 μB/cell. The density of states at the Fermi level comes out at 0.955 states/eV per atom. The calculation puts the calculated total energy at -421.90 eV for the cell shown.

Computed, not measured: CrNiI3 at its PBEsol-relaxed geometry at the SCAN level of DFT.

The space group is Pm-3m (No. 221) and the conventional cell measures 5.3897, 5.3897 and 5.3897 Å, with angles of 90.00, 90.00 and 90.00 degrees. Symmetry generates all atoms from Cr at (0.0000, 0.0000, 0.0000), Ni at (0.5000, 0.5000, 0.5000) and I at (0.0000, 0.0000, 0.5000).

Its total magnetization is 5.0 μB/cell. The density of states at the Fermi level comes out at 2.434 states/eV per atom. The calculation puts the calculated total energy at -142.23 eV for the cell shown.

Computed, not measured: CrNi2WI at its PBEsol-relaxed geometry at the SCAN level of DFT.

The space group is P4/mmm (No. 123) and the conventional cell measures 4.5322, 4.5322 and 5.1373 Å, with angles of 90.00, 90.00 and 90.00 degrees. Symmetry generates all atoms from Cr at (0.0000, 0.0000, 0.0000), Ni at (0.0000, 0.5000, 0.5000), W at (0.5000, 0.5000, 0.5000) and I at (0.5000, 0.5000, 0.0000).

Its total magnetization is 4.2 μB/cell. The density of states at the Fermi level comes out at 0.703 states/eV per atom. The calculation puts the calculated total energy at -149.62 eV for the cell shown.

Computed, not measured: CrIO2 at its PBEsol-relaxed geometry at the SCAN level of DFT.

The space group is Fm-3m (No. 225) and the conventional cell measures 5.8189, 5.8189 and 5.8189 Å, with angles of 90.00, 90.00 and 90.00 degrees. Symmetry generates all atoms from Cr at (0.0000, 0.0000, 0.0000), I at (0.0000, 0.0000, 0.5000) and O at (0.2500, 0.2500, 0.2500).

Its total magnetization is 11.9 μB/cell. The density of states at the Fermi level comes out at 1.179 states/eV per atom. For the energy above the most stable polymorph in this dataset, the calculation gives 1634.7 meV/atom.

Computed, not measured: CrIO2 at its PBEsol-relaxed geometry at the SCAN level of DFT.

The space group is R-3m (No. 166, hexagonal axes) and the conventional cell measures 3.0024, 3.0024 and 26.3305 Å, with angles of 90.00, 90.00 and 120.00 degrees. Symmetry generates all atoms from Cr at (0.0000, 0.0000, 0.0000), I at (0.0000, 0.0000, 0.5000) and O at (0.0000, 0.0000, 0.3671).

Its total magnetization is 6.4 μB/cell. The density of states at the Fermi level comes out at 0.700 states/eV per atom. For the energy above the most stable polymorph in this dataset, the calculation gives 0.0 meV/atom.

Computed, not measured: CrOsIO2 at its PBEsol-relaxed geometry at the SCAN level of DFT.

The space group is P4/mmm (No. 123) and the conventional cell measures 3.6511, 3.6511 and 5.8751 Å, with angles of 90.00, 90.00 and 90.00 degrees. Symmetry generates all atoms from Cr at (0.0000, 0.0000, 0.0000), Os at (0.5000, 0.5000, 0.5000), I at (0.0000, 0.0000, 0.5000) and O at (0.0000, 0.5000, 0.0000).

Its total magnetization is 2.7 μB/cell. The density of states at the Fermi level comes out at 0.596 states/eV per atom. The calculation puts the calculated total energy at -139.13 eV for the cell shown.

Computed, not measured: Cr2PIO4 at its PBEsol-relaxed geometry at the SCAN level of DFT.

The space group is P2_1/c (No. 14) and the conventional cell measures 6.3862, 6.2543 and 12.5017 Å, with angles of 90.00, 105.48 and 90.00 degrees. Symmetry generates all atoms from Cr at (0.0419, 0.1505, 0.1016), Cr at (0.4124, 0.5133, 0.1075), P at (0.0719, 0.1308, 0.3765), I at (0.4972, 0.0271, 0.1612), O at (0.0351, 0.1608, 0.9382), O at (0.0474, 0.1729, 0.2563), O at (0.1029, 0.0347, 0.6077) and O at (0.3008, 0.0349, 0.4361).

Its total magnetization is 32.0 μB/cell. The calculation puts the calculated total energy at -499.01 eV for the cell shown.

Computed, not measured: CrPdIO2 at its PBEsol-relaxed geometry at the SCAN level of DFT.

The space group is P4/mmm (No. 123) and the conventional cell measures 3.8447, 3.8447 and 6.6435 Å, with angles of 90.00, 90.00 and 90.00 degrees. Symmetry generates all atoms from Cr at (0.0000, 0.0000, 0.0000), Pd at (0.5000, 0.5000, 0.5000), I at (0.5000, 0.5000, 0.0000) and O at (0.0000, 0.5000, 0.5000).

Its total magnetization is 6.4 μB/cell. The density of states at the Fermi level comes out at 0.322 states/eV per atom. The calculation puts the calculated total energy at -100.12 eV for the cell shown.

Computed, not measured: CrSiIO2 at its PBEsol-relaxed geometry at the SCAN level of DFT.

The space group is P4/mmm (No. 123) and the conventional cell measures 3.7787, 3.7787 and 5.6462 Å, with angles of 90.00, 90.00 and 90.00 degrees. Symmetry generates all atoms from Cr at (0.0000, 0.0000, 0.0000), Si at (0.5000, 0.5000, 0.5000), I at (0.0000, 0.0000, 0.5000) and O at (0.0000, 0.5000, 0.0000).

Its total magnetization is 2.9 μB/cell. The density of states at the Fermi level comes out at 0.342 states/eV per atom. The calculation puts the calculated total energy at -79.42 eV for the cell shown.

Computed, not measured: TaCrIO2 at its PBEsol-relaxed geometry at the SCAN level of DFT.

The space group is P4/mmm (No. 123) and the conventional cell measures 3.8296, 3.8296 and 5.4452 Å, with angles of 90.00, 90.00 and 90.00 degrees. Symmetry generates all atoms from Ta at (0.0000, 0.0000, 0.0000), Cr at (0.5000, 0.5000, 0.5000), I at (0.5000, 0.5000, 0.0000) and O at (0.0000, 0.5000, 0.5000).

Its total magnetization is 5.5 μB/cell. The density of states at the Fermi level comes out at 0.694 states/eV per atom. The calculation puts the calculated total energy at -134.35 eV for the cell shown.

Computed, not measured: CrTeIO2 at its PBEsol-relaxed geometry at the SCAN level of DFT.

The space group is P4/mmm (No. 123) and the conventional cell measures 3.9333, 3.9333 and 5.8234 Å, with angles of 90.00, 90.00 and 90.00 degrees. Symmetry generates all atoms from Cr at (0.0000, 0.0000, 0.0000), Te at (0.5000, 0.5000, 0.5000), I at (0.0000, 0.0000, 0.5000) and O at (0.0000, 0.5000, 0.0000).

Its total magnetization is 1.9 μB/cell. The density of states at the Fermi level comes out at 0.554 states/eV per atom. The calculation puts the calculated total energy at -106.59 eV for the cell shown.